(1)
This record from the Alexandria database describes a relaxed SrFe2N crystal. The functional is GGA-PBE.

Properties
**E_form (uncorrected)**: 0.0 eV per formula unit
**Calculated density**: 4.67 g cm⁻³

a = 5.989 Å, b = 5.989 Å, c = 8.456 Å
α = 90.00°, β = 90.00°, γ = 90.00°
Space group I4_1/amd (No. 141, origin choice 2)
Asymmetric unit:
Sr 0.000 0.250 0.375
Fe 0.000 0.000 0.000
N 0.000 0.250 0.875

(2)
This record from the Alexandria database describes a relaxed SrFe2N2 crystal. The functional is GGA-PBE.

Properties
**E_form (uncorrected)**: -1.0 eV per formula unit
**Calculated density**: 6.41 g cm⁻³

a = 6.001 Å, b = 8.663 Å, c = 9.056 Å
α = 90.00°, β = 90.00°, γ = 90.00°
Space group Fddd (No. 70, origin choice 2)
Asymmetric unit:
Sr 0.125 0.125 0.125
Fe 0.125 0.125 0.495
N 0.125 0.307 0.625

(3)
This record from the Alexandria database describes a relaxed SrFe2N2 crystal. The functional is GGA-PBE.

Properties
**E_form (uncorrected)**: -0.7 eV per formula unit
**Calculated density**: 6.29 g cm⁻³

a = 3.3421 Å, b = 3.3421 Å, c = 6.2067 Å
α = 90.00°, β = 90.00°, γ = 120.00°
Space group P-3m1 (No. 164)
Asymmetric unit:
Sr 0.0000 0.0000 0.0000
Fe 0.3333 0.6667 0.3858
N 0.3333 0.6667 0.6914

(4)
This record from the Alexandria database describes a relaxed SrFe3N crystal. The functional is GGA-PBE.

Properties
**E_form (uncorrected)**: 16.5 eV per formula unit
**Calculated density**: 3.99 g cm⁻³
**ΔE to the lowest computed polymorph**: 2883 meV per atom

a = 4.819 Å, b = 4.819 Å, c = 4.819 Å
α = 90.00°, β = 90.00°, γ = 90.00°
Space group Pm-3m (No. 221)
Asymmetric unit:
Sr 0.000 0.000 0.000
Fe 0.000 0.000 0.500
N 0.500 0.500 0.500

(5)
This record from the Alexandria database describes a relaxed Sr5Fe2N4 crystal. The functional is GGA-PBE.

Properties
**E_form (uncorrected)**: -4.9 eV per formula unit
**Calculated density**: 4.27 g cm⁻³

a = 8.725 Å, b = 8.725 Å, c = 12.385 Å
α = 90.00°, β = 90.00°, γ = 90.00°
Space group P4/ncc (No. 130, origin choice 2)
Asymmetric unit:
Sr 0.071 0.636 0.102
Sr 0.250 0.250 0.163
Fe 0.092 0.592 0.750
N 0.055 0.642 0.884

(6)
This record from the Alexandria database describes a relaxed Sr2Fe2N crystal. The functional is GGA-PBE.

Properties
**E_form (uncorrected)**: 3.1 eV per formula unit
**Calculated density**: 4.52 g cm⁻³
**ΔE to the lowest computed polymorph**: 0 meV per atom

a = 5.918 Å, b = 5.918 Å, c = 6.318 Å
α = 90.00°, β = 90.00°, γ = 90.00°
Space group I4/mmm (No. 139)
Asymmetric unit:
Sr 0.000 0.500 0.250
Fe 0.000 0.000 0.210
N 0.000 0.000 0.500

(7)
This record from the Alexandria database describes a relaxed Sr3FeN3 crystal. The functional is GGA-PBE.

Properties
**E_form (uncorrected)**: -4.6 eV per formula unit
**Calculated density**: 4.44 g cm⁻³

a = 7.6569 Å, b = 7.6569 Å, c = 5.3143 Å
α = 90.00°, β = 90.00°, γ = 120.00°
Space group P6_3/m (No. 176)
Asymmetric unit:
Sr 0.0853 0.3604 0.2500
Fe 0.3333 0.6667 0.7500
N 0.1169 0.4287 0.7500

(8)
This record from the Alexandria database describes a relaxed Sr3Fe3N5 crystal. The functional is GGA-PBE.

Properties
**E_form (uncorrected)**: -5.1 eV per formula unit
**Calculated density**: 5.24 g cm⁻³

a = 5.667 Å, b = 7.171 Å, c = 8.634 Å
α = 108.69°, β = 104.32°, γ = 94.66°
Space group P-1 (No. 2)
Asymmetric unit:
Sr 0.155 0.182 0.208
Sr 0.164 0.369 0.875
Sr 0.311 0.914 0.609
Fe 0.188 0.459 0.572
Fe 0.408 0.613 0.292
Fe 0.415 0.828 0.979
N 0.141 0.557 0.382
N 0.264 0.031 0.917
N 0.310 0.217 0.523
N 0.313 0.729 0.123
N 0.433 0.618 0.783

calculated density of number 4 (SrFe3N)? 3.99 g cm⁻³

Look up the calculated density of the first one. 4.67 g cm⁻³